[1]
The following is a PBE calculation of a relaxed structure of LiAu4Se4Cl4O12, from the Alexandria database.

## Properties
The energy relative to the lowest polymorph listed for this composition comes out at 0.19 eV/f.u. As for the total magnetization: 0.82 μB/f.u. The calculation puts the uncorrected energy at -4.38 eV per atom. For the uncorrected formation energy, the calculation gives -548.3 meV/atom.

a b c (Å): 4.524 10.227 11.139
angles (deg): 86.08 87.25 85.36
Last column: magnetic moment on the atom in μB.
Element x y z (fractional)
O 0.912 0.987 0.691  0.02
O 0.672 0.047 0.898  0.01
O 0.307 0.350 0.947  0.06
O 0.069 0.617 0.843  0.06
O 0.984 0.784 0.230  0.01
O 0.020 0.215 0.769  0.08
O 0.112 0.825 0.944  0.01
O 0.928 0.187 0.073  0.02
O 0.713 0.657 0.049  0.00
O 0.933 0.410 0.140  0.01
O 0.093 0.997 0.330  0.00
O 0.360 0.958 0.123  0.00
Au 0.985 0.414 0.818  0.32
Au 0.008 0.594 0.181  0.01
Au 0.020 0.006 0.009  0.03
Au 0.005 0.990 0.511  0.01
Se 0.211 0.292 0.091  0.01
Se 0.295 0.867 0.259  0.00
Se 0.819 0.733 0.912  0.01
Se 0.718 0.126 0.755  0.00
Li 0.189 0.624 0.669  0.00
Cl 0.683 0.174 0.479  0.00
Cl 0.341 0.806 0.544  0.00
Cl 0.701 0.505 0.650  0.06
Cl 0.325 0.521 0.331  0.01



[2]
The following is a PBE calculation of a relaxed structure of RbBa3As, from the Alexandria database.

## Properties
The energy relative to the lowest polymorph listed for this composition comes out at 6.29 eV/f.u. As for the total magnetization: 2.57 μB/f.u. The calculation puts the uncorrected energy at -1.47 eV per atom.

a b c (Å): 6.349 6.349 6.349
angles (deg): 90.00 90.00 90.00
Last column: magnetic moment on the atom in μB.
Element x y z (fractional)
Ba 0.000 0.500 0.000  0.19
Ba 0.000 0.000 0.500  0.33
Ba 0.500 0.000 0.000  0.17
Rb 0.000 0.000 0.000  0.17
As 0.500 0.500 0.500  0.00



[3]
The following is a PBE calculation of a relaxed structure of Mg2TlCd2, from the Alexandria database.

## Properties
The energy relative to the lowest polymorph listed for this composition comes out at 0.00 eV/f.u. As for the total magnetization: 0.00 μB/f.u. The calculation puts the uncorrected energy at -1.51 eV per atom.

a b c (Å): 8.713 8.713 3.188
angles (deg): 90.00 90.00 90.00
Element x y z (fractional)
Cd 0.879 0.621 0.000
Cd 0.121 0.379 0.000
Cd 0.621 0.121 0.000
Cd 0.379 0.879 0.000
Mg 0.823 0.323 0.500
Mg 0.177 0.677 0.500
Mg 0.323 0.177 0.500
Mg 0.677 0.823 0.500
Tl 0.500 0.500 0.000
Tl 0.000 0.000 0.000